# HfPt3S, optimized geometry, DFT GGA-PBE
# - Polymorph energy (0 for the lowest one): 0.999 eV/atom
# - Total magnetization: 0.00 μB per cell
# - Symmetry: No. 221
# - Formation energy without anion corrections: 5.25 eV per formula unit
# - DFT total energy: -5.3916 eV/atom
data_HfPt3S
_space_group_name_H-M_alt 'P 1'
_space_group_IT_number 1
_cell_length_a 4.933
_cell_length_b 4.933
_cell_length_c 4.933
_cell_angle_alpha 90.00
_cell_angle_beta 90.00
_cell_angle_gamma 90.00
loop_
_space_group_symop_operation_xyz
'x,y,z'
loop_
_atom_site_label
_atom_site_fract_x
_atom_site_fract_y
_atom_site_fract_z
S1 0.500 0.500 0.500
Hf1 0.000 0.000 0.000
Pt1 0.000 0.500 0.000
Pt2 0.000 0.000 0.500
Pt3 0.500 0.000 0.000